(1)
Here is a relaxed structure of Ho3CoSn3 from Alexandria via LeMat-Bulk. Energies are from PBE.

Geometry as POSCAR:
```
Ho3CoSn3
1.0
5.5168 -2.2052 0.0000
5.5168 2.2052 0.0000
-4.9470 0.0000 13.9346
Ho Co Sn
6 2 6
direct
0.0189 0.0189 0.3826
0.0957 0.0957 0.9201
0.2405 0.2405 0.2410
0.7595 0.7595 0.7590
0.9043 0.9043 0.0799
0.9811 0.9811 0.6174
0.2548 0.2548 0.6127
0.7452 0.7452 0.3873
0.3460 0.3460 0.4622
0.3696 0.3696 0.9228
0.4707 0.4707 0.7599
0.5293 0.5293 0.2401
0.6304 0.6304 0.0772
0.6540 0.6540 0.5378
```

Results
Its crystal system is monoclinic. The value obtained for the density of states at the Fermi level is 0.8429 states/eV/atom. The total magnetization is 0.00 μB/atom. For the energy relative to the elements, the calculation gives -0.61 eV per atom.

***

(2)
Here is a relaxed structure of HoCo3Sn6 from Alexandria via LeMat-Bulk. Energies are from PBE.

Geometry as POSCAR:
```
HoCo3Sn6
1.0
6.5840 0.0000 0.0000
3.1914 5.8588 0.0000
3.1518 2.0302 5.6695
Ho Co Sn
1 3 6
direct
0.0000 0.0000 0.0000
0.0912 0.5507 0.9323
0.1725 0.2379 0.5455
0.6435 0.0431 0.4101
0.3580 0.7977 0.5702
0.4191 0.4212 0.1222
0.4317 0.2387 0.7342
0.6270 0.7711 0.0815
0.9063 0.6336 0.6099
0.9276 0.2465 0.3503
```

Results
Its crystal system is triclinic. The value obtained for the density of states at the Fermi level is 0.5219 states/eV/atom. The total magnetization is 0.00 μB/atom. For the energy relative to the elements, the calculation gives -0.10 eV per atom.

***

(3)
Here is a relaxed structure of HoCoSn2 from Alexandria via LeMat-Bulk. Energies are from PBE.

Geometry as POSCAR:
```
HoCoSn2
1.0
4.1827 0.0000 0.0000
0.0000 21.6404 0.0000
0.0000 0.0000 4.4694
Ho Co Sn
4 4 8
direct
0.0000 0.1568 0.2500
0.0000 0.8432 0.7500
0.5000 0.3432 0.7500
0.5000 0.6568 0.2500
0.0000 0.2500 0.7500
0.0000 0.7500 0.2500
0.5000 0.2500 0.2500
0.5000 0.7500 0.7500
0.0000 0.3164 0.2500
0.0000 0.4582 0.7500
0.0000 0.5418 0.2500
0.0000 0.6836 0.7500
0.5000 0.0418 0.2500
0.5000 0.1836 0.7500
0.5000 0.8164 0.2500
0.5000 0.9582 0.7500
```

Results
Its crystal system is orthorhombic. The value obtained for the density of states at the Fermi level is 0.9452 states/eV/atom. The total magnetization is 0.14 μB/atom. For the energy relative to the elements, the calculation gives -0.23 eV per atom.

***

(4)
Here is a relaxed structure of Ho2CoSn from Alexandria via LeMat-Bulk. Energies are from PBE.

Geometry as POSCAR:
```
Ho2CoSn
1.0
3.6832 0.0000 0.0000
-1.8416 3.1898 0.0000
0.0000 0.0000 28.2153
Ho Co Sn
6 3 3
direct
0.0000 0.0000 0.1125
0.0000 0.0000 0.8875
0.3333 0.6667 0.5541
0.3333 0.6667 0.7792
0.6667 0.3333 0.2208
0.6667 0.3333 0.4459
0.0000 0.0000 0.5000
0.3333 0.6667 0.1667
0.6667 0.3333 0.8333
0.0000 0.0000 0.0000
0.3333 0.6667 0.6667
0.6667 0.3333 0.3333
```

Results
The polymorph energy (0 for the lowest one) comes out at 385 meV per atom. Its crystal system is trigonal. The value obtained for the density of states at the Fermi level is 0.7151 states/eV/atom. The total magnetization is 0.00 μB/atom. For the energy relative to the elements, the calculation gives -0.02 eV per atom.

***

(5)
Here is a relaxed structure of Ho6CoSn from Alexandria via LeMat-Bulk. Energies are from PBE.

Geometry as POSCAR:
```
Ho6CoSn
1.0
6.6957 0.0000 0.0000
3.3476 5.8119 0.0000
3.3345 1.9372 6.4071
Ho Co Sn
6 1 1
direct
0.0363 0.4107 0.2641
0.2119 0.9642 0.7358
0.4104 0.7888 0.2642
0.5896 0.2112 0.7358
0.7881 0.0358 0.2642
0.9637 0.5893 0.7359
0.0000 0.0000 0.5000
0.5000 0.5000 0.0000
```

Results
Its crystal system is triclinic. The value obtained for the density of states at the Fermi level is 1.2683 states/eV/atom. The total magnetization is 0.00 μB/atom. For the energy relative to the elements, the calculation gives -0.06 eV per atom.

***

(6)
Here is a relaxed structure of HoCoSn2 from Alexandria via LeMat-Bulk. Energies are from PBE.

Geometry as POSCAR:
```
HoCoSn2
1.0
-2.2131 4.6706 8.3580
2.2131 -4.6706 8.3580
2.2131 4.6706 -8.3580
Ho Co Sn
4 4 8
direct
0.2090 0.2090 0.0000
0.2296 0.0000 0.2296
0.7704 0.0000 0.7704
0.7910 0.7910 0.0000
0.1026 0.3547 0.7479
0.3932 0.6453 0.7479
0.6068 0.3547 0.2521
0.8974 0.6453 0.2521
0.0834 0.5834 0.5000
0.1366 0.8023 0.3343
0.4140 0.4140 0.0000
0.4680 0.8023 0.6657
0.5320 0.1977 0.3343
0.5860 0.5860 0.0000
0.8634 0.1977 0.6657
0.9166 0.4166 0.5000
```

Results
Its crystal system is orthorhombic. The value obtained for the density of states at the Fermi level is 0.5658 states/eV/atom. The total magnetization is 0.00 μB/atom. For the energy relative to the elements, the calculation gives -0.43 eV per atom.

***

Energy list, top to bottom, in eV/atom: -5.301 -5.088 -5.156 -5.089 -4.882 -5.351